Record 1
This record from Alexandria describes a relaxed NaGaCu3 crystal. The functional is PBE-GGA.

```
data_NaGaCu3
_space_group_name_H-M_alt 'P 1'
_space_group_IT_number 1
_cell_length_a 4.6270
_cell_length_b 4.6270
_cell_length_c 4.6270
_cell_angle_alpha 90.00
_cell_angle_beta 90.00
_cell_angle_gamma 90.00
loop_
_space_group_symop_operation_xyz
'x,y,z'
loop_
_atom_site_label
_atom_site_type_symbol
_atom_site_fract_x
_atom_site_fract_y
_atom_site_fract_z
_atom_site_occupancy
Na1 Na 0.5000 0.5000 0.5000 1
Cu1 Cu 0.0000 0.5000 0.0000 1
Cu2 Cu 0.0000 0.0000 0.5000 1
Cu3 Cu 0.5000 0.0000 0.0000 1
Ga1 Ga 0.0000 0.0000 0.0000 1
```

Results
Its density of states at the Fermi level is 1.8 states/eV per cell. Its formation energy is 0.3429 eV per atom. For the total magnetization, the calculation gives 0.00 μB per formula unit.

***

Record 2
This record from Alexandria describes a relaxed LaSClO4 crystal. The functional is PBE-GGA.

```
data_LaSClO4
_space_group_name_H-M_alt 'P 1'
_space_group_IT_number 1
_cell_length_a 6.2191
_cell_length_b 6.2191
_cell_length_c 6.7010
_cell_angle_alpha 79.08
_cell_angle_beta 79.08
_cell_angle_gamma 71.55
loop_
_space_group_symop_operation_xyz
'x,y,z'
loop_
_atom_site_label
_atom_site_type_symbol
_atom_site_fract_x
_atom_site_fract_y
_atom_site_fract_z
_atom_site_occupancy
La1 La 0.2286 0.2286 0.8538 1
La2 La 0.7714 0.7714 0.1462 1
S1 S 0.6352 0.6352 0.7396 1
S2 S 0.3648 0.3648 0.2604 1
Cl1 Cl 0.0259 0.0259 0.2363 1
Cl2 Cl 0.9741 0.9741 0.7637 1
O1 O 0.2914 0.2914 0.4773 1
O2 O 0.7086 0.7086 0.5227 1
O3 O 0.1576 0.4842 0.1508 1
O4 O 0.5123 0.5123 0.2383 1
O5 O 0.5158 0.8424 0.8492 1
O6 O 0.4842 0.1576 0.1508 1
O7 O 0.4877 0.4877 0.7617 1
O8 O 0.8424 0.5158 0.8492 1
```

Results
Its uncorrected formation energy is -2.201 eV per atom. Its density of states at the Fermi level is 0.0 states/eV per cell. For the total magnetization, the calculation gives 0.00 μB per formula unit.

***

Record 3
This record from Alexandria describes a relaxed Ba2DyAg crystal. The functional is PBE-GGA.

```
data_Ba2DyAg
_space_group_name_H-M_alt 'P 1'
_space_group_IT_number 1
_cell_length_a 3.9109
_cell_length_b 3.9109
_cell_length_c 12.4921
_cell_angle_alpha 80.99
_cell_angle_beta 80.99
_cell_angle_gamma 60.00
loop_
_space_group_symop_operation_xyz
'x,y,z'
loop_
_atom_site_label
_atom_site_type_symbol
_atom_site_fract_x
_atom_site_fract_y
_atom_site_fract_z
_atom_site_occupancy
Ba1 Ba 0.0988 0.0988 0.7036 1
Ba2 Ba 0.9012 0.9012 0.2964 1
Ag1 Ag 0.5000 0.5000 0.5000 1
Dy1 Dy 0.0000 0.0000 0.0000 1
```

Results
Its density of states at the Fermi level is 5.8 states/eV per cell. Its formation energy is 0.3244 eV per atom. For the total magnetization, the calculation gives 0.00 μB per formula unit.

***

Record 4
This record from Alexandria describes a relaxed Hg2IrPt crystal. The functional is PBE-GGA.

```
data_Hg2IrPt
_space_group_name_H-M_alt 'P 1'
_space_group_IT_number 1
_cell_length_a 4.9217
_cell_length_b 4.9217
_cell_length_c 4.9217
_cell_angle_alpha 128.36
_cell_angle_beta 128.36
_cell_angle_gamma 76.05
loop_
_space_group_symop_operation_xyz
'x,y,z'
loop_
_atom_site_label
_atom_site_type_symbol
_atom_site_fract_x
_atom_site_fract_y
_atom_site_fract_z
_atom_site_occupancy
Hg1 Hg 0.0000 0.0000 0.0000 1
Hg2 Hg 0.5000 0.5000 0.0000 1
Ir1 Ir 0.2500 0.7500 0.5000 1
Pt1 Pt 0.7500 0.2500 0.5000 1
```

Results
Its density of states at the Fermi level is 1.9 states/eV per cell. Its formation energy is 0.3510 eV per atom. For the total magnetization, the calculation gives 0.00 μB per formula unit.

***

Record 5
This record from Alexandria describes a relaxed ThSi2Ru5 crystal. The functional is PBE-GGA.

```
data_ThSi2Ru5
_space_group_name_H-M_alt 'P 1'
_space_group_IT_number 1
_cell_length_a 3.9495
_cell_length_b 6.2295
_cell_length_c 6.2295
_cell_angle_alpha 66.03
_cell_angle_beta 71.52
_cell_angle_gamma 71.52
loop_
_space_group_symop_operation_xyz
'x,y,z'
loop_
_atom_site_label
_atom_site_type_symbol
_atom_site_fract_x
_atom_site_fract_y
_atom_site_fract_z
_atom_site_occupancy
Th1 Th 0.0000 0.0000 0.0000 1
Si1 Si 0.7591 0.7409 0.7409 1
Si2 Si 0.2409 0.2591 0.2591 1
Ru1 Ru 0.0000 0.5000 0.5000 1
Ru2 Ru 0.6410 0.5528 0.1652 1
Ru3 Ru 0.3590 0.4472 0.8348 1
Ru4 Ru 0.3590 0.8348 0.4472 1
Ru5 Ru 0.6410 0.1652 0.5528 1
```

Results
Its uncorrected formation energy is -0.420 eV per atom. Its density of states at the Fermi level is 8.9 states/eV per cell. For the total magnetization, the calculation gives 0.00 μB per formula unit.

***

Record 6
This record from Alexandria describes a relaxed K3TbGa2O6 crystal. The functional is PBE-GGA.

```
data_K3TbGa2O6
_space_group_name_H-M_alt 'P 1'
_space_group_IT_number 1
_cell_length_a 6.1451
_cell_length_b 6.1451
_cell_length_c 7.1461
_cell_angle_alpha 90.00
_cell_angle_beta 90.00
_cell_angle_gamma 120.00
loop_
_space_group_symop_operation_xyz
'x,y,z'
loop_
_atom_site_label
_atom_site_type_symbol
_atom_site_fract_x
_atom_site_fract_y
_atom_site_fract_z
_atom_site_occupancy
K1 K 0.3333 0.6667 0.7486 1
K2 K 0.6667 0.3333 0.2514 1
K3 K 0.0000 0.0000 0.0000 1
Tb1 Tb 0.0000 0.0000 0.5000 1
Ga1 Ga 0.6667 0.3333 0.7057 1
Ga2 Ga 0.3333 0.6667 0.2943 1
O1 O 0.6682 0.8341 0.2944 1
O2 O 0.1659 0.3318 0.2944 1
O3 O 0.1659 0.8341 0.2944 1
O4 O 0.8341 0.6682 0.7056 1
O5 O 0.3318 0.1659 0.7056 1
O6 O 0.8341 0.1659 0.7056 1
```

Results
Its uncorrected formation energy is -1.996 eV per atom. Its density of states at the Fermi level is 0.0 states/eV per cell. For the total magnetization, the calculation gives 0.00 μB per formula unit.

***

Record 7
This record from Alexandria describes a relaxed Rb2BeAlI6 crystal. The functional is PBE-GGA.

```
data_Rb2BeAlI6
_space_group_name_H-M_alt 'P 1'
_space_group_IT_number 1
_cell_length_a 8.0073
_cell_length_b 8.0073
_cell_length_c 8.0399
_cell_angle_alpha 60.13
_cell_angle_beta 60.13
_cell_angle_gamma 90.00
loop_
_space_group_symop_operation_xyz
'x,y,z'
loop_
_atom_site_label
_atom_site_type_symbol
_atom_site_fract_x
_atom_site_fract_y
_atom_site_fract_z
_atom_site_occupancy
I1 I 0.2550 0.2550 0.4900 1
I2 I 0.7450 0.7450 0.5100 1
I3 I 0.2570 0.2570 0.0000 1
I4 I 0.7430 0.7430 0.0000 1
I5 I 0.7430 0.2570 0.0000 1
I6 I 0.2570 0.7430 0.0000 1
Be1 Be 0.5000 0.5000 0.0000 1
Al1 Al 0.0000 0.0000 0.0000 1
Rb1 Rb 0.7500 0.2500 0.5000 1
Rb2 Rb 0.2500 0.7500 0.5000 1
```

Results
Its uncorrected formation energy is -0.730 eV per atom. Its density of states at the Fermi level is 1.7 states/eV per cell. For the total magnetization, the calculation gives 0.00 μB per formula unit.

***

Record 8
This record from Alexandria describes a relaxed Al2TcHSe crystal. The functional is PBE-GGA.

```
data_Al2TcHSe
_space_group_name_H-M_alt 'P 1'
_space_group_IT_number 1
_cell_length_a 4.4785
_cell_length_b 3.4146
_cell_length_c 4.4785
_cell_angle_alpha 90.00
_cell_angle_beta 90.00
_cell_angle_gamma 90.00
loop_
_space_group_symop_operation_xyz
'x,y,z'
loop_
_atom_site_label
_atom_site_type_symbol
_atom_site_fract_x
_atom_site_fract_y
_atom_site_fract_z
_atom_site_occupancy
H1 H 0.0000 0.0000 0.0000 1
Tc1 Tc 0.0000 0.5000 0.0000 1
Se1 Se 0.5000 0.5000 0.5000 1
Al1 Al 0.0000 0.0000 0.5000 1
Al2 Al 0.5000 0.0000 0.0000 1
```

Results
Its density of states at the Fermi level is 1.1 states/eV per cell. For the total magnetization, the calculation gives 0.00 μB per formula unit.

***

Record 9
This record from Alexandria describes a relaxed Tb2Tl3VS6 crystal. The functional is PBE-GGA.

```
data_Tb2Tl3VS6
_space_group_name_H-M_alt 'P 1'
_space_group_IT_number 1
_cell_length_a 6.7443
_cell_length_b 6.7443
_cell_length_c 7.8206
_cell_angle_alpha 98.31
_cell_angle_beta 98.31
_cell_angle_gamma 119.78
loop_
_space_group_symop_operation_xyz
'x,y,z'
loop_
_atom_site_label
_atom_site_type_symbol
_atom_site_fract_x
_atom_site_fract_y
_atom_site_fract_z
_atom_site_occupancy
Tb1 Tb 0.3338 0.6662 0.0000 1
Tb2 Tb 0.6662 0.3338 0.0000 1
Tl1 Tl 0.1722 0.8278 0.5000 1
Tl2 Tl 0.8278 0.1722 0.5000 1
Tl3 Tl 0.5000 0.5000 0.5000 1
V1 V 0.0000 0.0000 0.0000 1
S1 S 0.9362 0.6310 0.8100 1
S2 S 0.7578 0.7578 0.1987 1
S3 S 0.0638 0.3690 0.1900 1
S4 S 0.6310 0.9362 0.8100 1
S5 S 0.2422 0.2422 0.8013 1
S6 S 0.3690 0.0638 0.1900 1
```

Results
Its uncorrected formation energy is -1.166 eV per atom. Its density of states at the Fermi level is 7.4 states/eV per cell. For the total magnetization, the calculation gives 2.00 μB per formula unit.

***

Record 10
This record from Alexandria describes a relaxed Rb4Ce3CuO8 crystal. The functional is PBE-GGA.

```
data_Rb4Ce3CuO8
_space_group_name_H-M_alt 'P 1'
_space_group_IT_number 1
_cell_length_a 7.1226
_cell_length_b 7.7051
_cell_length_c 7.2127
_cell_angle_alpha 117.51
_cell_angle_beta 119.59
_cell_angle_gamma 90.00
loop_
_space_group_symop_operation_xyz
'x,y,z'
loop_
_atom_site_label
_atom_site_type_symbol
_atom_site_fract_x
_atom_site_fract_y
_atom_site_fract_z
_atom_site_occupancy
Rb1 Rb 0.5000 0.0000 0.0000 1
Rb2 Rb 0.5000 0.0000 0.5000 1
Rb3 Rb 0.0000 0.0000 0.0000 1
Rb4 Rb 0.0000 0.0000 0.5000 1
Ce1 Ce 0.5000 0.5000 0.0000 1
Ce2 Ce 0.5000 0.5000 0.5000 1
Ce3 Ce 0.0000 0.5000 0.5000 1
Cu1 Cu 0.0000 0.5000 0.0000 1
O1 O 0.2335 0.6747 0.9370 1
O2 O 0.2476 0.6855 0.4951 1
O3 O 0.2738 0.3179 0.5476 1
O4 O 0.7035 0.6747 0.9370 1
O5 O 0.2965 0.3253 0.0630 1
O6 O 0.7262 0.6821 0.4524 1
O7 O 0.7524 0.3145 0.5049 1
O8 O 0.7665 0.3253 0.0630 1
```

Results
Its uncorrected formation energy is -2.244 eV per atom. Its density of states at the Fermi level is 8.3 states/eV per cell. For the total magnetization, the calculation gives 1.09 μB per formula unit.

***

Record 11
This record from Alexandria describes a relaxed TlCuIr2 crystal. The functional is PBE-GGA.

```
data_TlCuIr2
_space_group_name_H-M_alt 'P 1'
_space_group_IT_number 1
_cell_length_a 4.7972
_cell_length_b 4.7972
_cell_length_c 4.7972
_cell_angle_alpha 129.60
_cell_angle_beta 129.60
_cell_angle_gamma 74.05
loop_
_space_group_symop_operation_xyz
'x,y,z'
loop_
_atom_site_label
_atom_site_type_symbol
_atom_site_fract_x
_atom_site_fract_y
_atom_site_fract_z
_atom_site_occupancy
Cu1 Cu 0.7500 0.2500 0.5000 1
Ir1 Ir 0.0000 0.0000 0.0000 1
Ir2 Ir 0.2500 0.7500 0.5000 1
Tl1 Tl 0.5000 0.5000 0.0000 1
```

Results
Its density of states at the Fermi level is 4.9 states/eV per cell. Its formation energy is 0.4953 eV per atom. For the total magnetization, the calculation gives 0.00 μB per formula unit.

***

Record 12
This record from Alexandria describes a relaxed La2NdTh2 crystal. The functional is PBE-GGA.

```
data_La2NdTh2
_space_group_name_H-M_alt 'P 1'
_space_group_IT_number 1
_cell_length_a 4.8035
_cell_length_b 4.8035
_cell_length_c 8.4323
_cell_angle_alpha 106.55
_cell_angle_beta 106.55
_cell_angle_gamma 90.00
loop_
_space_group_symop_operation_xyz
'x,y,z'
loop_
_atom_site_label
_atom_site_type_symbol
_atom_site_fract_x
_atom_site_fract_y
_atom_site_fract_z
_atom_site_occupancy
La1 La 0.3998 0.3998 0.7996 1
La2 La 0.6002 0.6002 0.2004 1
Nd1 Nd 0.0000 0.0000 0.0000 1
Th1 Th 0.7500 0.2500 0.5000 1
Th2 Th 0.2500 0.7500 0.5000 1
```

Results
Its density of states at the Fermi level is 7.9 states/eV per cell. Its formation energy is 0.3554 eV per atom. For the total magnetization, the calculation gives 0.00 μB per formula unit.

***

no.,DFT total energy (eV per formula unit)
1,-14.92
2,-46.14
3,-10.00
4,-14.10
5,-68.00
6,-67.68
7,-26.01
8,-23.88
9,-64.24
10,-101.34
11,-22.20
12,-27.69